[1]
Entry from the Alexandria database: a relaxed structure of RbPa2CuSe8 (PBE-GGA).

**Crystal system**: trigonal
**Energy relative to the elements, uncorrected**: -821 meV per atom
**DOS at the Fermi energy**: 2.4 states/eV/f.u.
**Total magnetization**: 0.00 μB/f.u.

Geometry as CIF:
```
data_RbPa2CuSe8
_chemical_formula_sum 'Rb1 Pa2 Cu1 Se8'
_space_group_name_H-M_alt 'P 1'
_space_group_IT_number 1
_cell_length_a 6.176
_cell_length_b 6.176
_cell_length_c 9.873
_cell_angle_alpha 90.00
_cell_angle_beta 90.00
_cell_angle_gamma 120.00
loop_
_space_group_symop_operation_xyz
'x,y,z'
loop_
_atom_site_label
_atom_site_type_symbol
_atom_site_fract_x
_atom_site_fract_y
_atom_site_fract_z
_atom_site_occupancy
Rb1 Rb 0.000 0.000 0.000 1
Pa1 Pa 0.333 0.667 0.386 1
Pa2 Pa 0.667 0.333 0.614 1
Cu1 Cu 0.000 0.000 0.500 1
Se1 Se 0.176 0.353 0.656 1
Se2 Se 0.176 0.824 0.656 1
Se3 Se 0.333 0.667 0.125 1
Se4 Se 0.353 0.176 0.344 1
Se5 Se 0.647 0.824 0.656 1
Se6 Se 0.667 0.333 0.875 1
Se7 Se 0.824 0.176 0.344 1
Se8 Se 0.824 0.647 0.344 1
```

[2]
Entry from the Alexandria database: a relaxed structure of Rb2Pa2CuSe6 (PBE-GGA).

**Crystal system**: monoclinic
**Energy relative to the elements, uncorrected**: -1167 meV per atom
**DOS at the Fermi energy**: 9.9 states/eV/f.u.
**Total magnetization**: 1.06 μB/f.u.

Geometry as CIF:
```
data_Rb2Pa2CuSe6
_chemical_formula_sum 'Rb2 Pa2 Cu1 Se6'
_space_group_name_H-M_alt 'P 1'
_space_group_IT_number 1
_cell_length_a 7.525
_cell_length_b 7.525
_cell_length_c 8.453
_cell_angle_alpha 96.69
_cell_angle_beta 96.69
_cell_angle_gamma 125.47
loop_
_space_group_symop_operation_xyz
'x,y,z'
loop_
_atom_site_label
_atom_site_type_symbol
_atom_site_fract_x
_atom_site_fract_y
_atom_site_fract_z
_atom_site_occupancy
Rb1 Rb 0.148 0.852 0.000 1
Rb2 Rb 0.852 0.148 0.000 1
Pa1 Pa 0.338 0.662 0.500 1
Pa2 Pa 0.662 0.338 0.500 1
Cu1 Cu 0.000 0.000 0.500 1
Se1 Se 0.050 0.433 0.700 1
Se2 Se 0.244 0.244 0.341 1
Se3 Se 0.433 0.050 0.700 1
Se4 Se 0.567 0.950 0.300 1
Se5 Se 0.756 0.756 0.659 1
Se6 Se 0.950 0.567 0.300 1
```

[3]
Entry from the Alexandria database: a relaxed structure of RbPa2Cu2Se6 (PBE-GGA).

**Crystal system**: triclinic
**Energy relative to the elements, uncorrected**: -997 meV per atom
**DOS at the Fermi energy**: 6.5 states/eV/f.u.
**Total magnetization**: 1.12 μB/f.u.

Geometry as CIF:
```
data_RbPa2Cu2Se6
_chemical_formula_sum 'Rb1 Pa2 Cu2 Se6'
_space_group_name_H-M_alt 'P 1'
_space_group_IT_number 1
_cell_length_a 7.516
_cell_length_b 7.683
_cell_length_c 7.701
_cell_angle_alpha 62.61
_cell_angle_beta 62.26
_cell_angle_gamma 60.78
loop_
_space_group_symop_operation_xyz
'x,y,z'
loop_
_atom_site_label
_atom_site_type_symbol
_atom_site_fract_x
_atom_site_fract_y
_atom_site_fract_z
_atom_site_occupancy
Rb1 Rb 0.000 0.000 0.000 1
Pa1 Pa 0.332 0.334 0.999 1
Pa2 Pa 0.668 0.666 0.001 1
Cu1 Cu 0.446 0.667 0.562 1
Cu2 Cu 0.554 0.333 0.438 1
Se1 Se 0.084 0.681 0.753 1
Se2 Se 0.307 0.538 0.247 1
Se3 Se 0.478 0.073 0.754 1
Se4 Se 0.522 0.927 0.246 1
Se5 Se 0.693 0.462 0.753 1
Se6 Se 0.916 0.319 0.247 1
```

[4]
Entry from the Alexandria database: a relaxed structure of Rb3PaCu2Se6 (PBE-GGA).

**Crystal system**: monoclinic
**Energy relative to the elements, uncorrected**: -847 meV per atom
**DOS at the Fermi energy**: 12.6 states/eV/f.u.
**Total magnetization**: 0.13 μB/f.u.

Geometry as CIF:
```
data_Rb3PaCu2Se6
_chemical_formula_sum 'Rb3 Pa1 Cu2 Se6'
_space_group_name_H-M_alt 'P 1'
_space_group_IT_number 1
_cell_length_a 8.588
_cell_length_b 8.588
_cell_length_c 8.086
_cell_angle_alpha 97.76
_cell_angle_beta 97.76
_cell_angle_gamma 136.70
loop_
_space_group_symop_operation_xyz
'x,y,z'
loop_
_atom_site_label
_atom_site_type_symbol
_atom_site_fract_x
_atom_site_fract_y
_atom_site_fract_z
_atom_site_occupancy
Rb1 Rb 0.000 0.000 0.000 1
Rb2 Rb 0.322 0.678 0.000 1
Rb3 Rb 0.678 0.322 0.000 1
Pa1 Pa 0.000 0.000 0.500 1
Cu1 Cu 0.415 0.585 0.500 1
Cu2 Cu 0.585 0.415 0.500 1
Se1 Se 0.011 0.738 0.667 1
Se2 Se 0.262 0.989 0.333 1
Se3 Se 0.443 0.443 0.745 1
Se4 Se 0.557 0.557 0.255 1
Se5 Se 0.738 0.011 0.667 1
Se6 Se 0.989 0.262 0.333 1
```

[5]
Entry from the Alexandria database: a relaxed structure of Rb2PaCuSe5 (PBE-GGA).

**Crystal system**: orthorhombic
**Energy relative to the elements, uncorrected**: -940 meV per atom
**DOS at the Fermi energy**: 4.2 states/eV/f.u.
**Total magnetization**: 0.75 μB/f.u.

Geometry as CIF:
```
data_Rb2PaCuSe5
_chemical_formula_sum 'Rb4 Pa2 Cu2 Se10'
_space_group_name_H-M_alt 'P 1'
_space_group_IT_number 1
_cell_length_a 10.750
_cell_length_b 10.750
_cell_length_c 14.164
_cell_angle_alpha 90.00
_cell_angle_beta 90.00
_cell_angle_gamma 157.37
loop_
_space_group_symop_operation_xyz
'x,y,z'
loop_
_atom_site_label
_atom_site_type_symbol
_atom_site_fract_x
_atom_site_fract_y
_atom_site_fract_z
_atom_site_occupancy
Rb1 Rb 0.123 0.877 0.500 1
Rb2 Rb 0.129 0.871 0.860 1
Rb3 Rb 0.871 0.129 0.360 1
Rb4 Rb 0.877 0.123 0.000 1
Pa1 Pa 0.205 0.795 0.181 1
Pa2 Pa 0.795 0.205 0.681 1
Cu1 Cu 0.410 0.590 0.577 1
Cu2 Cu 0.590 0.410 0.077 1
Se1 Se 0.070 0.930 0.154 1
Se2 Se 0.295 0.705 0.546 1
Se3 Se 0.310 0.690 0.810 1
Se4 Se 0.329 0.671 0.182 1
Se5 Se 0.491 0.509 0.468 1
Se6 Se 0.509 0.491 0.968 1
Se7 Se 0.671 0.329 0.682 1
Se8 Se 0.690 0.310 0.310 1
Se9 Se 0.705 0.295 0.046 1
Se10 Se 0.930 0.070 0.654 1
```

[6]
Entry from the Alexandria database: a relaxed structure of Rb4Pa3CuSe8 (PBE-GGA).

**Crystal system**: monoclinic
**Energy relative to the elements, uncorrected**: -1162 meV per atom
**DOS at the Fermi energy**: 19.2 states/eV/f.u.
**Total magnetization**: 4.01 μB/f.u.

Geometry as CIF:
```
data_Rb4Pa3CuSe8
_chemical_formula_sum 'Rb4 Pa3 Cu1 Se8'
_space_group_name_H-M_alt 'P 1'
_space_group_IT_number 1
_cell_length_a 8.416
_cell_length_b 8.416
_cell_length_c 9.418
_cell_angle_alpha 116.66
_cell_angle_beta 116.66
_cell_angle_gamma 59.66
loop_
_space_group_symop_operation_xyz
'x,y,z'
loop_
_atom_site_label
_atom_site_type_symbol
_atom_site_fract_x
_atom_site_fract_y
_atom_site_fract_z
_atom_site_occupancy
Rb1 Rb 0.000 0.000 0.000 1
Rb2 Rb 0.000 0.500 0.000 1
Rb3 Rb 0.500 0.000 0.000 1
Rb4 Rb 0.500 0.500 0.000 1
Pa1 Pa 0.000 0.000 0.500 1
Pa2 Pa 0.000 0.500 0.500 1
Pa3 Pa 0.500 0.000 0.500 1
Cu1 Cu 0.500 0.500 0.500 1
Se1 Se 0.233 0.233 0.701 1
Se2 Se 0.234 0.728 0.692 1
Se3 Se 0.267 0.267 0.305 1
Se4 Se 0.272 0.766 0.308 1
Se5 Se 0.728 0.234 0.692 1
Se6 Se 0.733 0.733 0.695 1
Se7 Se 0.766 0.272 0.308 1
Se8 Se 0.767 0.767 0.299 1
```